{"formula": "Pm2NdPt9", "functional": "PBE", "state": "relaxed", "magmom_total_mub_per_fu": 0.00, "delta_e_f_mev_per_atom": -929, "mass_density_g_cm3": 15.8, "dos_ef_per_ev_fu": 9.6, "cell": [[-3.676, 1.260, -3.843], [-3.943, -3.560, -1.281], [-7.812, 2.834, 4.514]], "species": ["Pt", "Pt", "Pt", "Pt", "Pt", "Pt", "Pt", "Pt", "Pt", "Pm", "Pm", "Nd"], "fractional_positions": [[0.413, 0.919, 0.254], [0.587, 0.587, 0.746], [0.500, 0.500, 0.500], [0.413, 0.413, 0.254], [0.587, 0.081, 0.746], [0.667, 0.667, 0.999], [0.081, 0.587, 0.746], [0.333, 0.333, 0.001], [0.919, 0.413, 0.254], [0.139, 0.139, 0.582], [0.861, 0.861, 0.418], [0.000, 0.000, 0.000]]}

{"formula": "PaMnCoS3", "functional": "PBE", "state": "relaxed", "e_tot_ev_per_cell": -87.70, "magmom_total_mub_per_fu": 4.93, "mass_density_g_cm3": 7.0, "dos_ef_per_ev_fu": 2.8, "cell": [[3.723, 0.000, 0.000], [0.000, 7.097, 0.508], [0.000, -2.211, 7.725]], "species": ["Co", "Co", "Mn", "Mn", "S", "S", "S", "S", "S", "S", "Pa", "Pa"], "fractional_positions": [[0.750, 0.903, 0.411], [0.250, 0.097, 0.589], [0.250, 0.672, 0.173], [0.750, 0.328, 0.827], [0.250, 0.765, 0.483], [0.250, 0.096, 0.869], [0.250, 0.577, 0.846], [0.750, 0.904, 0.131], [0.750, 0.423, 0.154], [0.750, 0.235, 0.517], [0.750, 0.819, 0.749], [0.250, 0.181, 0.251]]}

{"formula": "MgAg2F", "functional": "PBE", "state": "relaxed", "magmom_total_mub_per_fu": 0.00, "mass_density_g_cm3": 6.3, "relative_energy_mev_per_atom": 261, "dos_ef_per_ev_fu": 1.3, "cell": [[0.000, 3.243, 3.243], [3.243, 0.000, 3.243], [3.243, 3.243, 0.000]], "species": ["F", "Ag", "Ag", "Mg"], "fractional_positions": [[0.000, 0.000, 0.000], [0.250, 0.250, 0.250], [0.750, 0.750, 0.750], [0.500, 0.500, 0.500]]}

{"formula": "Li2Cd2In4Hg", "functional": "PBE", "state": "relaxed", "magmom_total_mub_per_fu": 0.00, "delta_e_f_mev_per_atom": -76, "mass_density_g_cm3": 7.0, "dos_ef_per_ev_fu": 2.9, "cell": [[-1.001, 3.101, 0.735], [-1.179, -1.534, -2.723], [-16.602, -8.152, 11.782]], "species": ["Li", "Li", "Cd", "Cd", "Hg", "In", "In", "In", "In"], "fractional_positions": [[0.667, 0.333, 0.654], [0.000, 0.000, 0.982], [0.667, 0.333, 0.214], [0.667, 0.333, 0.434], [0.000, 0.000, 0.324], [0.000, 0.000, 0.757], [0.667, 0.333, 0.878], [0.000, 0.000, 0.550], [0.667, 0.333, 0.083]]}

{"formula": "Ce4SmIn3", "functional": "PBE", "state": "relaxed", "magmom_total_mub_per_fu": 1.26, "delta_e_f_mev_per_atom": -301, "mass_density_g_cm3": 8.1, "dos_ef_per_ev_fu": 16.2, "cell": [[-2.205, 1.051, 2.333], [-4.319, -0.458, -3.876], [-1.987, -11.048, 0.653]], "species": ["Sm", "Ce", "Ce", "Ce", "Ce", "In", "In", "In"], "fractional_positions": [[0.500, 0.000, 0.000], [0.631, 0.565, 0.263], [0.262, 0.246, 0.524], [0.738, 0.754, 0.476], [0.369, 0.435, 0.737], [0.000, 0.500, 0.000], [0.125, 0.076, 0.249], [0.875, 0.924, 0.751]]}

{"formula": "Pm2BiH", "functional": "PBE", "state": "relaxed", "magmom_total_mub_per_fu": 0.00, "mass_density_g_cm3": 8.7, "relative_energy_mev_per_atom": 0, "dos_ef_per_ev_fu": 2.8, "cell": [[8.579, 0.000, 0.969], [0.000, 5.386, 0.000], [1.236, 0.000, 8.356]], "species": ["Bi", "Bi", "Bi", "Bi", "H", "H", "H", "H", "Pm", "Pm", "Pm", "Pm", "Pm", "Pm", "Pm", "Pm"], "fractional_positions": [[0.203, 0.247, 0.189], [0.297, 0.747, 0.811], [0.703, 0.253, 0.189], [0.797, 0.753, 0.811], [0.102, 0.352, 0.590], [0.898, 0.648, 0.410], [0.398, 0.852, 0.410], [0.602, 0.148, 0.590], [0.873, 0.249, 0.506], [0.036, 0.256, 0.857], [0.627, 0.749, 0.494], [0.127, 0.751, 0.494], [0.964, 0.744, 0.143], [0.464, 0.756, 0.143], [0.536, 0.244, 0.857], [0.373, 0.251, 0.506]]}

{"formula": "Np2ZnSb", "functional": "PBE", "state": "relaxed", "e_tot_ev_per_cell": -30.49, "magmom_total_mub_per_fu": 0.00, "mass_density_g_cm3": 14.8, "dos_ef_per_ev_fu": 7.4, "cell": [[-2.553, -4.372, 0.952], [2.362, -1.880, -2.298], [2.298, -0.702, 2.937]], "species": ["Np", "Np", "Zn", "Sb"], "fractional_positions": [[0.000, 0.500, 0.000], [0.000, 0.000, 0.500], [0.500, 0.500, 0.500], [0.500, 0.000, 0.000]]}

{"formula": "CoCuRe2", "functional": "PBE", "state": "relaxed", "magmom_total_mub_per_fu": 0.90, "delta_e_f_mev_per_atom": 228, "mass_density_g_cm3": 15.6, "relative_energy_mev_per_atom": 68, "dos_ef_per_ev_fu": 2.3, "cell": [[3.851, 0.000, 0.000], [0.000, 2.622, 0.027], [0.000, 2.579, 5.243]], "species": ["Re", "Re", "Cu", "Co"], "fractional_positions": [[0.000, 0.500, 0.494], [0.000, 0.000, 0.006], [0.500, 0.750, 0.750], [0.500, 0.250, 0.250]]}